No. 1
Nd6SmDy8 | PBE | optimized geometry

Cell: 8.740 8.740 8.740 Å, 63.08 63.08 63.08°
Element x y z (fractional)
Nd: 0.038 0.729 0.604
Nd: 0.271 0.396 0.962
Nd: 0.396 0.962 0.271
Nd: 0.604 0.038 0.729
Nd: 0.729 0.604 0.038
Nd: 0.962 0.271 0.396
Sm: 0.500 0.500 0.500
Dy: 0.077 0.077 0.077
Dy: 0.218 0.247 0.612
Dy: 0.247 0.612 0.218
Dy: 0.388 0.782 0.753
Dy: 0.612 0.218 0.247
Dy: 0.753 0.388 0.782
Dy: 0.782 0.753 0.388
Dy: 0.923 0.923 0.923

Values from the calculation:
offset from the most stable computed form: 0 meV/atom
space group: R-3
total DFT energy (no corrections): -68.3 eV per cell

No. 2
GaCoSe2 | PBE | optimized geometry

Cell: 8.652 8.652 8.652 Å, 22.74 22.74 22.74°
Element x y z (fractional)
Ga: 0.000 0.000 0.000
Co: 0.500 0.500 0.500
Se: 0.115 0.115 0.115
Se: 0.885 0.885 0.885

Values from the calculation:
space group: R-3m
total DFT energy (no corrections): -17.7 eV per cell

No. 3
Li5Ni3N3 | PBE | optimized geometry

Cell: 6.519 6.519 3.476 Å, 90.00 90.00 120.00°
Element x y z (fractional)
Li: 0.000 0.263 0.000
Li: 0.263 0.000 0.000
Li: 0.333 0.667 0.000
Li: 0.667 0.333 0.000
Li: 0.737 0.737 0.000
Ni: 0.000 0.631 0.500
Ni: 0.369 0.369 0.500
Ni: 0.631 0.000 0.500
N: 0.000 0.634 0.000
N: 0.366 0.366 0.000
N: 0.634 0.000 0.000

Values from the calculation:
space group: P-62m
total DFT energy (no corrections): -55.9 eV per cell

Calculated density: 7.6, 5.6, 3.3 (Mg/m³)